[1]
This record from the Alexandria database describes a relaxed structure of K2ErAg2Se4. The functional is PBE.

```
data_K2ErAg2Se4
_chemical_formula_sum 'K2 Er1 Ag2 Se4'
_cell_length_a 8.027
_cell_length_b 8.027
_cell_length_c 8.069
_cell_angle_alpha 108.80
_cell_angle_beta 108.80
_cell_angle_gamma 29.85
_symmetry_space_group_name_H-M 'P 1'
_symmetry_Int_Tables_number 1
_symmetry_space_group_name_Hall 'P 1'
loop_
_atom_site_label
_atom_site_type_symbol
_atom_site_fract_x
_atom_site_fract_y
_atom_site_fract_z
K1 K 0.130 0.130 0.066
K2 K 0.870 0.870 0.934
Er1 Er 0.000 0.000 0.500
Ag1 Ag 0.321 0.321 0.519
Ag2 Ag 0.679 0.679 0.481
Se1 Se 0.196 0.196 0.700
Se2 Se 0.491 0.491 0.741
Se3 Se 0.509 0.509 0.259
Se4 Se 0.804 0.804 0.300
```

Results
total DFT energy (no corrections): -35.50 eV/cell
crystal system: monoclinic
ρ: 5.3 g/cm3
formation energy (no corrections): -1011 meV/atom
Fermi-level density of states: 4.2 states/eV/f.u.
M_tot: 0.0000 μB/atom

[2]
This record from the Alexandria database describes a relaxed structure of KEr2AgTe4. The functional is PBE.

```
data_KEr2AgTe4
_chemical_formula_sum 'K2 Er4 Ag2 Te8'
_cell_length_a 7.775
_cell_length_b 7.775
_cell_length_c 15.760
_cell_angle_alpha 90.00
_cell_angle_beta 90.00
_cell_angle_gamma 146.94
_symmetry_space_group_name_H-M 'P 1'
_symmetry_Int_Tables_number 1
_symmetry_space_group_name_Hall 'P 1'
loop_
_atom_site_label
_atom_site_type_symbol
_atom_site_fract_x
_atom_site_fract_y
_atom_site_fract_z
K1 K 0.128 0.872 0.750
K2 K 0.872 0.128 0.250
Er1 Er 0.370 0.630 0.570
Er2 Er 0.370 0.630 0.930
Er3 Er 0.630 0.370 0.070
Er4 Er 0.630 0.370 0.430
Ag1 Ag 0.160 0.840 0.250
Ag2 Ag 0.840 0.160 0.750
Te1 Te 0.000 0.000 0.000
Te2 Te 0.000 0.000 0.500
Te3 Te 0.268 0.732 0.104
Te4 Te 0.268 0.732 0.396
Te5 Te 0.452 0.548 0.750
Te6 Te 0.548 0.452 0.250
Te7 Te 0.732 0.268 0.604
Te8 Te 0.732 0.268 0.896
```

Results
total DFT energy (no corrections): -69.15 eV/cell
crystal system: orthorhombic
ρ: 6.3 g/cm3
formation energy (no corrections): -1117 meV/atom
M_tot: 0.0000 μB/atom

[3]
This record from the Alexandria database describes a relaxed structure of La5ErAg6. The functional is PBE.

```
data_La5ErAg6
_chemical_formula_sum 'La5 Er1 Ag6'
_cell_length_a 5.368
_cell_length_b 7.514
_cell_length_c 8.509
_cell_angle_alpha 90.00
_cell_angle_beta 108.21
_cell_angle_gamma 90.00
_symmetry_space_group_name_H-M 'P 1'
_symmetry_Int_Tables_number 1
_symmetry_space_group_name_Hall 'P 1'
loop_
_atom_site_label
_atom_site_type_symbol
_atom_site_fract_x
_atom_site_fract_y
_atom_site_fract_z
La1 La 0.000 0.000 0.000
La2 La 0.329 0.000 0.659
La3 La 0.334 0.500 0.668
La4 La 0.666 0.500 0.332
La5 La 0.671 0.000 0.341
Er1 Er 0.000 0.500 0.000
Ag1 Ag 0.159 0.260 0.318
Ag2 Ag 0.159 0.740 0.318
Ag3 Ag 0.500 0.265 0.000
Ag4 Ag 0.500 0.735 0.000
Ag5 Ag 0.841 0.260 0.682
Ag6 Ag 0.841 0.740 0.682
```

Results
ΔH_f (0 K): -0.265 eV per atom
total DFT energy (no corrections): -49.49 eV/cell
crystal system: monoclinic
ρ: 7.7 g/cm3
Fermi-level density of states: 10.2 states/eV/f.u.
M_tot: 0.0000 μB/atom

[4]
This record from the Alexandria database describes a relaxed structure of La2Er3Ag2. The functional is PBE.

```
data_La2Er3Ag2
_chemical_formula_sum 'La4 Er6 Ag4'
_cell_length_a 10.949
_cell_length_b 5.072
_cell_length_c 8.276
_cell_angle_alpha 90.00
_cell_angle_beta 115.06
_cell_angle_gamma 90.00
_symmetry_space_group_name_H-M 'P 1'
_symmetry_Int_Tables_number 1
_symmetry_space_group_name_Hall 'P 1'
loop_
_atom_site_label
_atom_site_type_symbol
_atom_site_fract_x
_atom_site_fract_y
_atom_site_fract_z
La1 La 0.123 0.000 0.266
La2 La 0.377 0.500 0.734
La3 La 0.623 0.500 0.266
La4 La 0.877 0.000 0.734
Er1 Er 0.000 0.500 0.500
Er2 Er 0.139 0.500 0.958
Er3 Er 0.361 0.000 0.042
Er4 Er 0.500 0.000 0.500
Er5 Er 0.639 0.000 0.958
Er6 Er 0.861 0.500 0.042
Ag1 Ag 0.150 0.000 0.679
Ag2 Ag 0.350 0.500 0.321
Ag3 Ag 0.650 0.500 0.679
Ag4 Ag 0.850 0.000 0.321
```

Results
ΔH_f (0 K): -0.088 eV per atom
total DFT energy (no corrections): -59.72 eV/cell
crystal system: monoclinic
ρ: 7.9 g/cm3
Fermi-level density of states: 7.9 states/eV/f.u.
M_tot: 0.0000 μB/atom